Record 1
A plane-wave DFT calculation with GGA-PBE was carried out for ZrGa2Rh3 after structural relaxation.

Unit cell a=4.4132 b=4.4132 c=10.9133 alpha=90.00 beta=90.00 gamma=120.00
Space group P-3m1 (No. 164)
Inequivalent atoms, fractional coordinates:
Zr 0.3333 0.6667 0.1738 (multiplicity 2)
Ga 0.0000 0.0000 0.0000 (multiplicity 1)
Ga 0.0000 0.0000 0.5000 (multiplicity 1)
Ga 0.3333 0.6667 0.6667 (multiplicity 2)
Rh 0.0000 0.0000 0.2688 (multiplicity 2)
Rh 0.3333 0.6667 0.4253 (multiplicity 2)
Rh 0.3333 0.6667 0.9198 (multiplicity 2)

**Total DFT energy (no corrections)**: -0.253 hartree per atom
**M_tot**: 0.00 μB per cell

=====

Record 2
A plane-wave DFT calculation with GGA-PBE was carried out for HfInPt2 after structural relaxation.

Unit cell a=3.3684 b=3.3684 c=6.5862 alpha=90.00 beta=90.00 gamma=90.00
Space group P4/mmm (No. 123)
Inequivalent atoms, fractional coordinates:
Hf 0.0000 0.0000 0.0000 (multiplicity 1)
In 0.0000 0.0000 0.5000 (multiplicity 1)
Pt 0.5000 0.5000 0.2259 (multiplicity 2)

**Total DFT energy (no corrections)**: -0.258 hartree per atom
**M_tot**: 0.00 μB per cell

=====

Record 3
A plane-wave DFT calculation with GGA-PBE was carried out for Tb2Pu3TaN6 after structural relaxation.

Unit cell a=5.9287 b=10.2547 c=5.8805 alpha=90.00 beta=109.55 gamma=90.00
Space group C2/m (No. 12)
Inequivalent atoms, fractional coordinates:
Tb 0.0000 0.1666 0.0000 (multiplicity 4)
Pu 0.0000 0.0000 0.5000 (multiplicity 2)
Pu 0.0000 0.3323 0.5000 (multiplicity 4)
Ta 0.0000 0.5000 0.0000 (multiplicity 2)
N 0.2262 0.5000 0.7581 (multiplicity 4)
N 0.2315 0.3476 0.2368 (multiplicity 8)

**Uncorrected formation energy**: -1.3800 eV per atom
**M_tot**: 29.24 μB per cell

=====

Record 4
A plane-wave DFT calculation with GGA-PBE was carried out for V2NiAs4 after structural relaxation.

Unit cell a=4.6659 b=4.6659 c=12.1207 alpha=90.00 beta=90.00 gamma=90.00
Space group I4/mmm (No. 139)
Inequivalent atoms, fractional coordinates:
V 0.0000 0.0000 0.1069 (multiplicity 4)
Ni 0.0000 0.0000 0.5000 (multiplicity 2)
As 0.0000 0.0000 0.3051 (multiplicity 4)
As 0.0000 0.5000 0.0000 (multiplicity 4)

**Total DFT energy (no corrections)**: -0.213 hartree per atom
**M_tot**: 7.18 μB per cell

=====

Record 5
A plane-wave DFT calculation with GGA-PBE was carried out for Tb3Dy3Tm2 after structural relaxation.

Unit cell a=4.9921 b=4.9921 c=19.9408 alpha=90.00 beta=90.00 gamma=90.00
Space group Immm (No. 71)
Inequivalent atoms, fractional coordinates:
Tb 0.0000 0.0000 0.0000 (multiplicity 2)
Tb 0.0000 0.5000 0.3741 (multiplicity 4)
Dy 0.0000 0.0000 0.5000 (multiplicity 2)
Dy 0.0000 0.5000 0.1261 (multiplicity 4)
Tm 0.0000 0.0000 0.2499 (multiplicity 4)

**M_tot**: 0.00 μB per cell
**Energy relative to the lowest polymorph listed for this composition**: 0 meV/atom

=====

Record 6
A plane-wave DFT calculation with GGA-PBE was carried out for TlRhBr2 after structural relaxation.

Unit cell a=3.6025 b=6.9606 c=9.1945 alpha=90.00 beta=90.00 gamma=90.00
Space group Cmm2 (No. 35)
Inequivalent atoms, fractional coordinates:
Tl 0.0000 0.0000 0.0000 (multiplicity 2)
Rh 0.0000 0.5000 0.7799 (multiplicity 2)
Br 0.0000 0.0000 0.5987 (multiplicity 2)
Br 0.0000 0.5000 0.2323 (multiplicity 2)

**Uncorrected formation energy**: 0.0287 eV per atom
**M_tot**: 0.00 μB per cell
**Energy relative to the lowest polymorph listed for this composition**: 326 meV/atom

=====

Record 7
A plane-wave DFT calculation with GGA-PBE was carried out for CaAlGa2 after structural relaxation.

Unit cell a=4.3629 b=4.3629 c=16.0027 alpha=90.00 beta=90.00 gamma=120.00
Space group R-3m (No. 166, hexagonal axes)
Inequivalent atoms, fractional coordinates:
Ca 0.0000 0.0000 0.0000 (multiplicity 3)
Al 0.0000 0.0000 0.5000 (multiplicity 3)
Ga 0.0000 0.0000 0.2210 (multiplicity 6)

**Total DFT energy (no corrections)**: -0.119 hartree per atom
**M_tot**: 0.00 μB per cell

=====

Record 8
A plane-wave DFT calculation with GGA-PBE was carried out for SbTe2RhSe after structural relaxation.

Unit cell a=5.3339 b=5.3339 c=5.3523 alpha=90.00 beta=90.00 gamma=90.00
Space group P4/mmm (No. 123)
Inequivalent atoms, fractional coordinates:
Sb 0.0000 0.0000 0.0000 (multiplicity 1)
Te 0.0000 0.5000 0.5000 (multiplicity 2)
Rh 0.5000 0.5000 0.0000 (multiplicity 1)
Se 0.0000 0.0000 0.5000 (multiplicity 1)

**Uncorrected formation energy**: 1.0507 eV per atom
**M_tot**: 0.93 μB per cell
**Energy relative to the lowest polymorph listed for this composition**: 657 meV/atom

=====

Record 9
A plane-wave DFT calculation with GGA-PBE was carried out for Pr6Ga3Co after structural relaxation.

Unit cell a=5.3762 b=9.1042 c=12.3960 alpha=90.00 beta=115.35 gamma=90.00
Space group P2_1/c (No. 14)
Inequivalent atoms, fractional coordinates:
Pr 0.0431 0.1801 0.0543 (multiplicity 4)
Pr 0.2536 0.5042 0.2398 (multiplicity 4)
Pr 0.4116 0.1570 0.4312 (multiplicity 4)
Ga 0.2390 0.6609 0.7513 (multiplicity 4)
Ga 0.5000 0.0000 0.0000 (multiplicity 2)
Co 0.0000 0.0000 0.5000 (multiplicity 2)

**Total DFT energy (no corrections)**: -0.175 hartree per atom
**M_tot**: 0.00 μB per cell

=====

Record 10
A plane-wave DFT calculation with GGA-PBE was carried out for Pr6O11 after structural relaxation.

Unit cell a=6.9880 b=12.1154 c=13.4013 alpha=90.00 beta=99.88 gamma=90.00
Space group P2_1/c (No. 14)
Inequivalent atoms, fractional coordinates:
Pr 0.0867 0.1713 0.3763 (multiplicity 4)
Pr 0.1224 0.0003 0.8712 (multiplicity 4)
Pr 0.1393 0.6632 0.8763 (multiplicity 4)
Pr 0.3659 0.0141 0.6160 (multiplicity 4)
Pr 0.3683 0.1721 0.1033 (multiplicity 4)
Pr 0.3733 0.6481 0.6281 (multiplicity 4)
O 0.0706 0.5016 0.1872 (multiplicity 4)
O 0.0732 0.6618 0.6935 (multiplicity 4)
O 0.0918 0.1681 0.1960 (multiplicity 4)
O 0.1630 0.1683 0.5568 (multiplicity 4)
O 0.1842 0.0062 0.0610 (multiplicity 4)
O 0.2343 0.6701 0.0714 (multiplicity 4)
O 0.3037 0.6650 0.4402 (multiplicity 4)
O 0.3133 0.0131 0.4252 (multiplicity 4)
O 0.3138 0.1725 0.9203 (multiplicity 4)
O 0.4452 0.5227 0.3011 (multiplicity 4)
O 0.4563 0.6758 0.8092 (multiplicity 4)

**Uncorrected formation energy**: -2.7908 eV per atom
**M_tot**: 16.18 μB per cell

=====

Record 11
A plane-wave DFT calculation with GGA-PBE was carried out for RbBa2Ce3S8 after structural relaxation.

Unit cell a=8.5611 b=8.5611 c=22.3406 alpha=90.00 beta=90.00 gamma=120.00
Space group R3m (No. 160, hexagonal axes)
Inequivalent atoms, fractional coordinates:
Rb 0.0000 0.0000 0.0000 (multiplicity 3)
Ba 0.0000 0.0000 0.3700 (multiplicity 3)
Ba 0.0000 0.0000 0.7483 (multiplicity 3)
Ce 0.0033 0.5017 0.8720 (multiplicity 9)
S 0.0000 0.0000 0.1433 (multiplicity 3)
S 0.0000 0.0000 0.6041 (multiplicity 3)
S 0.0369 0.5184 0.1373 (multiplicity 9)
S 0.1872 0.3743 0.9359 (multiplicity 9)

**Uncorrected formation energy**: -1.8397 eV per atom
**M_tot**: 3.35 μB per cell

=====

Record 12
A plane-wave DFT calculation with GGA-PBE was carried out for EuY2Tl after structural relaxation.

Unit cell a=3.7158 b=3.7158 c=9.2950 alpha=90.00 beta=90.00 gamma=90.00
Space group P4/mmm (No. 123)
Inequivalent atoms, fractional coordinates:
Eu 0.0000 0.0000 0.0000 (multiplicity 1)
Y 0.5000 0.5000 0.2880 (multiplicity 2)
Tl 0.0000 0.0000 0.5000 (multiplicity 1)

**M_tot**: 8.02 μB per cell
**Energy relative to the lowest polymorph listed for this composition**: 28 meV/atom

=====

Record 13
A plane-wave DFT calculation with GGA-PBE was carried out for LiVSb2H after structural relaxation.

Unit cell a=4.7008 b=4.7008 c=4.5420 alpha=90.00 beta=90.00 gamma=90.00
Space group P4/mmm (No. 123)
Inequivalent atoms, fractional coordinates:
Li 0.0000 0.0000 0.0000 (multiplicity 1)
V 0.0000 0.0000 0.5000 (multiplicity 1)
Sb 0.0000 0.5000 0.0000 (multiplicity 2)
H 0.5000 0.5000 0.5000 (multiplicity 1)

**Total DFT energy (no corrections)**: -0.124 hartree per atom
**M_tot**: 0.75 μB per cell

=====

Record 14
A plane-wave DFT calculation with GGA-PBE was carried out for SiBrCl2 after structural relaxation.

Unit cell a=3.2133 b=3.2133 c=11.0725 alpha=90.00 beta=90.00 gamma=90.00
Space group P4/mmm (No. 123)
Inequivalent atoms, fractional coordinates:
Si 0.0000 0.0000 0.0000 (multiplicity 1)
Br 0.0000 0.0000 0.5000 (multiplicity 1)
Cl 0.5000 0.5000 0.1421 (multiplicity 2)

**Uncorrected formation energy**: -0.0232 eV per atom
**M_tot**: 0.00 μB per cell
**Energy relative to the lowest polymorph listed for this composition**: 578 meV/atom

=====

Record 15
A plane-wave DFT calculation with GGA-PBE was carried out for PrSmDyTm after structural relaxation.

Unit cell a=8.0924 b=8.0924 c=8.0924 alpha=90.00 beta=90.00 gamma=90.00
Space group F-43m (No. 216)
Inequivalent atoms, fractional coordinates:
Pr 0.0000 0.0000 0.0000 (multiplicity 4)
Sm 0.0000 0.0000 0.5000 (multiplicity 4)
Dy 0.2500 0.2500 0.7500 (multiplicity 4)
Tm 0.2500 0.2500 0.2500 (multiplicity 4)

**Total DFT energy (no corrections)**: -0.167 hartree per atom
**M_tot**: 0.00 μB per cell

=====

Record 16
A plane-wave DFT calculation with GGA-PBE was carried out for ReRuF3 after structural relaxation.

Unit cell a=4.1769 b=4.1769 c=4.1769 alpha=90.00 beta=90.00 gamma=90.00
Space group Pm-3m (No. 221)
Inequivalent atoms, fractional coordinates:
Re 0.0000 0.0000 0.0000 (multiplicity 1)
Ru 0.5000 0.5000 0.5000 (multiplicity 1)
F 0.0000 0.0000 0.5000 (multiplicity 3)

**Uncorrected formation energy**: 0.2723 eV per atom
**M_tot**: 1.95 μB per cell
**Energy relative to the lowest polymorph listed for this composition**: 22 meV/atom

=====

Record 17
A plane-wave DFT calculation with GGA-PBE was carried out for Ca2Ag2O5 after structural relaxation.

Unit cell a=6.0368 b=9.8149 c=4.0534 alpha=90.00 beta=90.00 gamma=90.00
Space group Pbam (No. 55)
Inequivalent atoms, fractional coordinates:
Ca 0.1541 0.1399 0.0000 (multiplicity 4)
Ag 0.1934 0.4007 0.5000 (multiplicity 4)
O 0.0000 0.0000 0.5000 (multiplicity 2)
O 0.1231 0.6760 0.5000 (multiplicity 4)
O 0.2469 0.3857 0.0000 (multiplicity 4)

**Uncorrected formation energy**: -1.2293 eV per atom
**M_tot**: 0.00 μB per cell

=====

Record 18
A plane-wave DFT calculation with GGA-PBE was carried out for MgNb3P after structural relaxation.

Unit cell a=4.6715 b=4.6715 c=4.6715 alpha=90.00 beta=90.00 gamma=90.00
Space group Pm-3m (No. 221)
Inequivalent atoms, fractional coordinates:
Mg 0.0000 0.0000 0.0000 (multiplicity 1)
Nb 0.0000 0.5000 0.5000 (multiplicity 3)
P 0.5000 0.5000 0.5000 (multiplicity 1)

**M_tot**: 0.00 μB per cell
**Energy relative to the lowest polymorph listed for this composition**: 0 meV/atom

=====

Record 19
A plane-wave DFT calculation with GGA-PBE was carried out for Ca3Cu2Sn4 after structural relaxation.

Unit cell a=11.6492 b=4.4683 c=8.6509 alpha=90.00 beta=98.20 gamma=90.00
Space group C2/m (No. 12)
Inequivalent atoms, fractional coordinates:
Ca 0.0000 0.0000 0.0000 (multiplicity 2)
Ca 0.1148 0.5000 0.7032 (multiplicity 4)
Cu 0.2195 0.5000 0.4093 (multiplicity 4)
Sn 0.0882 0.0000 0.3832 (multiplicity 4)
Sn 0.2051 0.5000 0.0935 (multiplicity 4)

**M_tot**: 0.00 μB per cell
**Energy relative to the lowest polymorph listed for this composition**: 0 meV/atom

=====

Record 20
A plane-wave DFT calculation with GGA-PBE was carried out for TaTiS3 after structural relaxation.

Unit cell a=4.7431 b=4.7431 c=4.7431 alpha=90.00 beta=90.00 gamma=90.00
Space group Pm-3m (No. 221)
Inequivalent atoms, fractional coordinates:
Ta 0.0000 0.0000 0.0000 (multiplicity 1)
Ti 0.5000 0.5000 0.5000 (multiplicity 1)
S 0.0000 0.0000 0.5000 (multiplicity 3)

**Uncorrected formation energy**: -0.1109 eV per atom
**M_tot**: 0.28 μB per cell
**Energy relative to the lowest polymorph listed for this composition**: 1099 meV/atom

=====

Record 21
A plane-wave DFT calculation with GGA-PBE was carried out for Pm6PrY4 after structural relaxation.

Unit cell a=6.7450 b=6.7450 c=17.0824 alpha=90.00 beta=90.00 gamma=90.00
Space group I-42m (No. 121)
Inequivalent atoms, fractional coordinates:
Pm 0.0000 0.5000 0.0000 (multiplicity 4)
Pm 0.1887 0.1887 0.1755 (multiplicity 8)
Pr 0.0000 0.0000 0.0000 (multiplicity 2)
Y 0.1782 0.1782 0.3745 (multiplicity 8)

**M_tot**: 0.00 μB per cell
**Energy relative to the lowest polymorph listed for this composition**: 207 meV/atom